A plane-wave DFT calculation with PBE was carried out for a geometry-optimized NiP2SI structure.

Output
* energy relative to the elements, uncorrected: 1834.1 meV per atom

Unit cell a=5.142 b=5.142 c=5.000 alpha=90.00 beta=90.00 gamma=90.00
Space group P4/mmm (No. 123)
One atom of each set of equivalent atoms:
Ni  0.000  0.000  0.000 x1
P  0.000  0.500  0.500 x2
S  0.500  0.500  0.000 x1
I  0.500  0.500  0.500 x1